No. 1
4
Lattice="1.718 0.992 10.362 -1.718 0.992 10.362 0.000 -1.984 10.362" Properties=species:S:1:pos:R:3 comment="LuPu2Ge | the Alexandria database | PBE | relaxed" total_energy_ev_per_fu=-37.67 m_tot_mub_per_fu=12.0 polymorph_energy_mev_per_atom=320 crystal_system=trigonal delta_e_f_ev_per_atom=0.03 pbc="T T T"
Lu 0.000 0.000 0.000
Pu 0.000 0.000 7.422
Pu 0.000 0.000 23.664
Ge 0.000 0.000 15.543


No. 2
4
Lattice="0.000 3.447 3.447 3.447 0.000 3.447 3.447 3.447 0.000" Properties=species:S:1:pos:R:3 comment="LuPuGeRu | the Alexandria database | PBE | relaxed" total_energy_ev_per_fu=-34.02 m_tot_mub_per_fu=4.8 crystal_system=cubic delta_e_f_ev_per_atom=-0.32 pbc="T T T"
Lu 0.000 0.000 0.000
Pu 3.447 3.447 3.447
Ge 1.724 1.724 1.724
Ru 5.171 5.171 5.171


No. 3
4
Lattice="0.000 3.667 3.667 3.667 0.000 3.667 3.667 3.667 0.000" Properties=species:S:1:pos:R:3 comment="LuPuTlGe | the Alexandria database | PBE | relaxed" total_energy_ev_per_fu=-26.83 m_tot_mub_per_fu=6.0 crystal_system=cubic delta_e_f_ev_per_atom=-0.25 pbc="T T T"
Lu 0.000 0.000 0.000
Pu 3.667 3.667 3.667
Tl 5.501 5.501 5.501
Ge 1.834 1.834 1.834


No. 4
4
Lattice="2.313 1.335 3.688 -2.313 1.335 3.688 0.000 -2.671 3.688" Properties=species:S:1:pos:R:3 comment="LuReGe2 | the Alexandria database | PBE | relaxed" total_energy_ev_per_fu=-26.87 m_tot_mub_per_fu=0.0 crystal_system=trigonal delta_e_f_ev_per_atom=-0.17 pbc="T T T"
Lu 0.000 0.000 0.000
Re 0.000 0.000 5.531
Ge 0.000 0.000 2.788
Ge 0.000 0.000 8.274


No. 5
4
Lattice="3.465 0.000 0.000 0.000 3.465 0.000 0.000 0.000 6.712" Properties=species:S:1:pos:R:3 comment="Lu2GeRh | the Alexandria database | PBE | relaxed" total_energy_ev_per_fu=-24.31 m_tot_mub_per_fu=0.0 crystal_system=tetragonal delta_e_f_ev_per_atom=-0.83 pbc="T T T"
Lu 0.000 0.000 1.611
Lu 0.000 0.000 5.100
Ge 1.733 1.733 3.356
Rh 1.733 1.733 0.000


No. 6
40
Lattice="8.967 0.000 0.000 0.000 8.967 0.000 0.000 0.000 8.967" Properties=species:S:1:pos:R:3 comment="Lu3Ge13Rh4 | the Alexandria database | PBE | relaxed" total_energy_ev_per_fu=-113.25 m_tot_mub_per_fu=0.0 crystal_system=cubic delta_e_f_ev_per_atom=-0.51 pbc="T T T"
Lu 0.000 2.242 4.483
Lu 0.000 6.725 4.483
Lu 2.242 4.483 0.000
Lu 4.483 0.000 2.242
Lu 4.483 0.000 6.725
Lu 6.725 4.483 0.000
Ge 0.000 0.000 0.000
Ge 0.000 2.800 1.313
Ge 0.000 2.800 7.654
Ge 0.000 6.166 1.313
Ge 0.000 6.166 7.654
Ge 1.313 0.000 2.800
Ge 1.313 0.000 6.166
Ge 1.683 4.483 3.171
Ge 1.683 4.483 5.796
Ge 2.800 1.313 0.000
Ge 2.800 7.654 0.000
Ge 3.171 1.683 4.483
Ge 3.171 7.284 4.483
Ge 4.483 3.171 1.683
Ge 4.483 3.171 7.284
Ge 4.483 4.483 4.483
Ge 4.483 5.796 1.683
Ge 4.483 5.796 7.284
Ge 5.796 1.683 4.483
Ge 5.796 7.284 4.483
Ge 6.166 1.313 0.000
Ge 6.166 7.654 0.000
Ge 7.284 4.483 3.171
Ge 7.284 4.483 5.796
Ge 7.654 0.000 2.800
Ge 7.654 0.000 6.166
Rh 2.242 2.242 2.242
Rh 2.242 2.242 6.725
Rh 2.242 6.725 2.242
Rh 2.242 6.725 6.725
Rh 6.725 2.242 2.242
Rh 6.725 2.242 6.725
Rh 6.725 6.725 2.242
Rh 6.725 6.725 6.725


No. 7
17
Lattice="-4.155 4.155 4.155 4.155 -4.155 4.155 4.155 4.155 -4.155" Properties=species:S:1:pos:R:3 comment="Lu4Ge6Rh7 | the Alexandria database | PBE | relaxed" total_energy_ev_per_fu=-113.72 m_tot_mub_per_fu=0.0 crystal_system=cubic delta_e_f_ev_per_atom=-0.97 pbc="T T T"
Lu 2.077 2.077 -2.077
Lu 2.077 -2.077 2.077
Lu -2.077 2.077 2.077
Lu 2.077 2.077 2.077
Ge 2.638 0.000 0.000
Ge 5.672 0.000 0.000
Ge 0.000 2.638 0.000
Ge 0.000 0.000 2.638
Ge 0.000 5.672 0.000
Ge 0.000 0.000 5.672
Rh 0.000 0.000 0.000
Rh 4.155 2.077 0.000
Rh 4.155 0.000 2.077
Rh 2.077 4.155 0.000
Rh 2.077 0.000 4.155
Rh 0.000 4.155 2.077
Rh 0.000 2.077 4.155


No. 8
4
Lattice="0.000 3.173 3.173 3.173 0.000 3.173 3.173 3.173 0.000" Properties=species:S:1:pos:R:3 comment="LuGeRuRh | the Alexandria database | PBE | relaxed" total_energy_ev_per_fu=-28.43 m_tot_mub_per_fu=0.0 crystal_system=cubic delta_e_f_ev_per_atom=-0.67 pbc="T T T"
Lu 0.000 0.000 0.000
Ge 3.173 3.173 3.173
Ru 1.586 1.586 1.586
Rh 4.759 4.759 4.759